DFT (GGA-PBE) results for BaCuW after structural relaxation.

a b c (Å): 5.022 5.022 3.018
angles (deg): 90.00 90.00 120.00
Atoms (fractional coordinates):
Ba1 0.000 0.000 0.000
Cu1 0.667 0.333 0.500
W1 0.333 0.667 0.500

**Total magnetization**: 0.00 μB per cell
**DFT formation energy**: 4.1 eV per formula unit
**V**: 22.0 A^3/atom
**VASP energy**: -14.9 eV per cell